No. 1
MgTa2F2 GGA-PBE relaxed; D(E_F) = 8.253 states/eV/cell; distance to the lowest polymorph of the same formula = 567 meV per atom; space-group type = P4/mbm, No. 127; total magnetization = 0.00 Bohr magnetons per cell
1.0
-8.750 0.229 0.873
0.810 -1.756 8.581
0.120 2.595 0.520
Mg F Ta
2 4 4
Direct
0.000 0.000 0.000 Mg
0.500 0.500 0.000 Mg
0.255 0.755 0.500 F
0.755 0.745 0.500 F
0.745 0.245 0.500 F
0.245 0.255 0.500 F
0.389 0.889 0.000 Ta
0.889 0.611 0.000 Ta
0.611 0.111 0.000 Ta
0.111 0.389 0.000 Ta

=====

No. 2
ZrScNiIr GGA-PBE relaxed; D(E_F) = 4.549 states/eV/cell; space-group type = F-43m, No. 216; ΔH_f (0 K) = -2.8 eV per formula unit; total magnetization = 0.00 Bohr magnetons per cell
1.0
4.589 0.000 0.000
2.294 3.974 0.000
2.294 1.325 3.747
Sc Ni Ir Zr
1 1 1 1
Direct
0.000 0.000 0.000 Sc
0.250 0.250 0.250 Ni
0.750 0.750 0.750 Ir
0.500 0.500 0.500 Zr